Ba2Ac4Ir | GGA-PBE | relaxed

Cell lengths 5.934, 5.934, 20.648 Å; angles 90.00, 90.00, 90.00 degrees
Space group I4/mmm (No. 139)
One atom of each set of equivalent atoms:
Ba 0.000 0.000 0.160
Ac 0.000 0.000 0.360
Ac 0.000 0.500 0.000
Ir 0.000 0.000 0.500

Results
Energy relative to the elements   -0.07 eV per atom